[1]
VASP calculation (PBE-GGA) on a relaxed structure of Ni4AuS8.

a b c (Å): 6.8776 6.8776 6.8776
angles (deg): 60.00 60.00 60.00
Closest atoms and distances in Å follow each position.
Sites, in units of the cell vectors:
Ni (0.3779, 0.3779, 0.3779)  6 S 2.27-2.31
Ni (0.3779, 0.3779, 0.8662)  6 S 2.27-2.31
Ni (0.3779, 0.8662, 0.3779)  6 S 2.27-2.31
Ni (0.8662, 0.3779, 0.3779)  6 S 2.27-2.31
Au (0.0000, 0.0000, 0.0000)  4 S 2.40
S (0.1428, 0.1428, 0.1428)  3 Ni 2.31, 1 Au 2.40
S (0.1428, 0.1428, 0.5717)  3 Ni 2.31, 1 Au 2.40
S (0.1428, 0.5717, 0.1428)  3 Ni 2.31, 1 Au 2.40
S (0.1692, 0.6103, 0.6103)  3 Ni 2.27
S (0.5717, 0.1428, 0.1428)  3 Ni 2.31, 1 Au 2.40
S (0.6103, 0.1692, 0.6103)  3 Ni 2.27
S (0.6103, 0.6103, 0.1692)  3 Ni 2.27
S (0.6103, 0.6103, 0.6103)  3 Ni 2.27

Output
Total energy (eV per atom): -4.764
Formation energy (no corrections) (meV/atom): -193
Crystal system: cubic
Space group: F-43m, No. 216
Total magnetic moment (μB per formula unit): 0.00

***

[2]
VASP calculation (PBE-GGA) on a relaxed structure of Ni2AuS.

a b c (Å): 6.2457 6.2457 6.2457
angles (deg): 30.95 30.95 30.95
Closest atoms and distances in Å follow each position.
Sites, in units of the cell vectors:
Ni (0.2321, 0.2321, 0.2321)  3 S 2.25
Ni (0.7679, 0.7679, 0.7679)  3 S 2.25
Au (0.0000, 0.0000, 0.0000)  6 Ni 2.64
S (0.5000, 0.5000, 0.5000)  6 Ni 2.25

Output
Total energy (eV per atom): -4.787
Formation energy (no corrections) (meV/atom): -45
Crystal system: trigonal
Space group: R-3m, No. 166
Total magnetic moment (μB per formula unit): 0.00

***

[3]
VASP calculation (PBE-GGA) on a relaxed structure of Ni2AuS.

a b c (Å): 5.3537 5.3537 5.3537
angles (deg): 104.36 104.36 120.26
Closest atoms and distances in Å follow each position.
Sites, in units of the cell vectors:
Ni (0.0618, 0.6250, 0.9368)  2 S 2.15
Ni (0.3750, 0.3118, 0.4368)  2 S 2.15
Ni (0.6882, 0.1250, 0.0632)  2 S 2.15
Ni (0.8750, 0.9382, 0.5632)  2 S 2.15
Au (0.2500, 0.7500, 0.5000)  2 S 2.67, 8 Ni 2.71-2.86
Au (0.5000, 0.5000, 0.0000)  2 S 2.67, 8 Ni 2.71-2.86
S (0.0000, 0.0000, 0.0000)  4 Ni 2.15
S (0.7500, 0.2500, 0.5000)  4 Ni 2.15

Output
Total energy (eV per atom): -4.645
Formation energy (no corrections) (meV/atom): 97
Crystal system: tetragonal
Space group: I-42d, No. 122
Total magnetic moment (μB per formula unit): 0.00

***

[4]
VASP calculation (PBE-GGA) on a relaxed structure of NiAu2SeS.

a b c (Å): 4.6306 4.6306 5.2331
angles (deg): 90.00 90.00 90.00
Closest atoms and distances in Å follow each position.
Sites, in units of the cell vectors:
Ni (0.0000, 0.0000, 0.0000)  4 Se 3.27, 8 Au 3.49
Au (0.0000, 0.5000, 0.5000)  2 S 2.32
Au (0.5000, 0.0000, 0.5000)  2 S 2.32
Se (0.5000, 0.5000, 0.0000)  2 S 2.62
S (0.5000, 0.5000, 0.5000)  4 Au 2.32

Output
Total energy (eV per atom): -3.107
Formation energy (no corrections) (meV/atom): 882
Crystal system: tetragonal
Space group: P4/mmm, No. 123
Total magnetic moment (μB per formula unit): 1.14

***

[5]
VASP calculation (PBE-GGA) on a relaxed structure of Ni2SnAuS.

a b c (Å): 4.7165 4.7165 5.1229
angles (deg): 90.00 90.00 90.00
Closest atoms and distances in Å follow each position.
Sites, in units of the cell vectors:
Ni (0.0000, 0.5000, 0.0000)  2 Sn 2.36
Ni (0.5000, 0.0000, 0.0000)  2 Sn 2.36
Sn (0.0000, 0.0000, 0.0000)  4 Ni 2.36, 2 Au 2.56
Au (0.0000, 0.0000, 0.5000)  2 Sn 2.56
S (0.5000, 0.5000, 0.5000)  4 Au 3.34, 8 Ni 3.48

Output
Total energy (eV per atom): -3.440
Formation energy (no corrections) (meV/atom): 1154
Crystal system: tetragonal
Space group: P4/mmm, No. 123
Total magnetic moment (μB per formula unit): 0.00

***

[6]
VASP calculation (PBE-GGA) on a relaxed structure of SrNiAuS2.

a b c (Å): 4.6357 4.6357 4.8239
angles (deg): 90.00 90.00 90.00
Closest atoms and distances in Å follow each position.
Sites, in units of the cell vectors:
Sr (0.0000, 0.0000, 0.0000)  4 Au 3.28, 8 S 3.35
Ni (0.5000, 0.5000, 0.5000)  4 S 2.32, 2 Au 2.41
Au (0.5000, 0.5000, 0.0000)  2 Ni 2.41
S (0.0000, 0.5000, 0.5000)  2 Ni 2.32
S (0.5000, 0.0000, 0.5000)  2 Ni 2.32

Output
Total energy (eV per atom): -4.385
Formation energy (no corrections) (meV/atom): -586
Crystal system: tetragonal
Space group: P4/mmm, No. 123
Total magnetic moment (μB per formula unit): 0.00

***

[7]
VASP calculation (PBE-GGA) on a relaxed structure of TlNiAuS.

a b c (Å): 3.8835 3.8835 11.4268
angles (deg): 90.00 90.00 90.00
Closest atoms and distances in Å follow each position.
Sites, in units of the cell vectors:
Tl (0.2500, 0.2500, 0.2226)  4 Au 3.20, 4 S 3.41
Tl (0.7500, 0.7500, 0.7774)  4 Au 3.20, 4 S 3.41
Ni (0.2500, 0.7500, 0.5000)  4 S 2.25
Ni (0.7500, 0.2500, 0.5000)  4 S 2.25
Au (0.2500, 0.7500, 0.0000)  4 Au 2.75
Au (0.7500, 0.2500, 0.0000)  4 Au 2.75
S (0.2500, 0.2500, 0.6002)  4 Ni 2.25
S (0.7500, 0.7500, 0.3998)  4 Ni 2.25

Output
Total energy (eV per atom): -4.066
Formation energy (no corrections) (meV/atom): -178
Crystal system: tetragonal
Space group: P4/nmm, No. 129
Total magnetic moment (μB per formula unit): 0.00

***

[8]
VASP calculation (PBE-GGA) on a relaxed structure of ZnNiAu2S.

a b c (Å): 4.7627 4.7627 4.4797
angles (deg): 90.00 90.00 90.00
Closest atoms and distances in Å follow each position.
Sites, in units of the cell vectors:
Zn (0.0000, 0.0000, 0.0000)  2 Ni 2.24
Ni (0.0000, 0.0000, 0.5000)  2 Zn 2.24, 4 Au 2.38
Au (0.0000, 0.5000, 0.5000)  2 Ni 2.38
Au (0.5000, 0.0000, 0.5000)  2 Ni 2.38
S (0.5000, 0.5000, 0.0000)  8 Au 3.27, 4 Zn 3.37

Output
Total energy (eV per atom): -2.805
Formation energy (no corrections) (meV/atom): 743
Crystal system: tetragonal
Space group: P4/mmm, No. 123
Total magnetic moment (μB per formula unit): 0.12